12
Lattice="-1.909 -1.635 7.681 -3.601 -3.910 -1.727 4.710 -4.438 0.226" Properties=species:S:1:pos:R:3 comment="PBE Hf4TlBi, relaxed" magnetic_moment_mub_per_cell=0.00 mass_density_g_cm3=12.8 ef_ev_per_atom=0.220 pbc="T T T"
Hf -3.799 -3.948 1.651
Hf -2.285 -2.086 6.659
Hf 2.228 -4.667 1.478
Hf -0.578 -7.455 4.438
Hf -1.451 -6.176 1.744
Hf 0.056 -4.320 6.782
Hf -2.914 -5.255 4.326
Hf -0.147 -2.429 1.364
Tl -2.501 -2.691 -0.717
Tl 0.087 -4.439 3.805
Bi -2.285 -2.237 3.705
Bi -0.138 -4.901 -0.580